(1)
DFT (PBE-GGA) results for a relaxed ErGa3NiPd crystal.

DOS(E_F)   0.457 states/eV/atom
Spin magnetization   0.00 μB per atom
Crystal system   orthorhombic

Cell: 6.8483 6.8483 5.6871 Å, 90.00 90.00 128.34°
With the nearest neighbours (Å) after each atom.
Sites, in units of the cell vectors:
Er 0.2225 0.7775 0.7500  1 Ni 2.58
Er 0.7775 0.2225 0.2500  1 Ni 2.58
Ga 0.2112 0.2112 0.0000  2 Ni 2.39, 1 Ga 2.52
Ga 0.2112 0.2112 0.5000  2 Ni 2.39, 1 Ga 2.52
Ga 0.3589 0.6411 0.2500  1 Pd 2.53, 1 Ni 2.58
Ga 0.6411 0.3589 0.7500  1 Pd 2.53, 1 Ni 2.58
Ga 0.7888 0.7888 0.0000  2 Ni 2.39, 1 Ga 2.52
Ga 0.7888 0.7888 0.5000  2 Ni 2.39, 1 Ga 2.52
Ni 0.4318 0.5682 0.7500  5 Ga 2.39-2.58, 1 Er 2.58
Ni 0.5682 0.4318 0.2500  5 Ga 2.39-2.58, 1 Er 2.58
Pd 0.1541 0.8459 0.2500  5 Ga 2.53-2.69
Pd 0.8459 0.1541 0.7500  5 Ga 2.53-2.69



(2)
DFT (PBE-GGA) results for a relaxed Tb3Sc5Pb2 crystal.

DOS(E_F)   1.382 states/eV/atom
Spin magnetization   0.00 μB per atom
Crystal system   monoclinic

Cell: 9.4056 9.4056 6.2973 Å, 95.07 95.07 103.26°
With the nearest neighbours (Å) after each atom.
Sites, in units of the cell vectors:
Tb 0.0281 0.9719 0.7500  4 Pb 3.16-3.32, 2 Tb 3.26, 2 Sc 3.45
Tb 0.1166 0.6425 0.9103  6 Sc 3.34-3.70, 3 Tb 3.40-3.69, 4 Pb 3.41-3.52
Tb 0.3575 0.8834 0.5897  6 Sc 3.34-3.70, 3 Tb 3.40-3.69, 4 Pb 3.41-3.52
Tb 0.6425 0.1166 0.4103  6 Sc 3.34-3.70, 3 Tb 3.40-3.69, 4 Pb 3.41-3.52
Tb 0.8834 0.3575 0.0897  6 Sc 3.34-3.70, 3 Tb 3.40-3.69, 4 Pb 3.41-3.52
Tb 0.9719 0.0281 0.2500  4 Pb 3.16-3.32, 2 Tb 3.26, 2 Sc 3.45
Sc 0.2279 0.5336 0.3822  2 Pb 2.98-3.20, 4 Sc 3.10-3.25, 1 Tb 3.34
Sc 0.2288 0.3124 0.9852  2 Pb 3.03-3.24, 6 Sc 3.11-3.38
Sc 0.3124 0.2288 0.4852  2 Pb 3.03-3.24, 6 Sc 3.11-3.38
Sc 0.4664 0.7721 0.1178  2 Pb 2.98-3.20, 4 Sc 3.10-3.25, 1 Tb 3.34
Sc 0.4692 0.5308 0.7500  10 Sc 3.10-3.28
Sc 0.5308 0.4692 0.2500  10 Sc 3.10-3.28
Sc 0.5336 0.2279 0.8822  2 Pb 2.98-3.20, 4 Sc 3.10-3.25, 1 Tb 3.34
Sc 0.6876 0.7712 0.5148  2 Pb 3.03-3.24, 6 Sc 3.11-3.38
Sc 0.7712 0.6876 0.0148  2 Pb 3.03-3.24, 6 Sc 3.11-3.38
Sc 0.7721 0.4664 0.6178  2 Pb 2.98-3.20, 4 Sc 3.10-3.25, 1 Tb 3.34
Pb 0.0038 0.2969 0.6029  4 Sc 2.98-3.24, 2 Tb 3.16-3.32
Pb 0.2969 0.0038 0.1029  4 Sc 2.98-3.24, 2 Tb 3.16-3.32
Pb 0.7031 0.9962 0.8971  4 Sc 2.98-3.24, 2 Tb 3.16-3.32
Pb 0.9962 0.7031 0.3971  4 Sc 2.98-3.24, 2 Tb 3.16-3.32



(3)
DFT (PBE-GGA) results for a relaxed KBiHPb2 crystal.

DOS(E_F)   0.564 states/eV/atom
Spin magnetization   0.00 μB per atom
Crystal system   tetragonal

Cell: 5.1250 5.1250 5.1126 Å, 90.00 90.00 90.00°
With the nearest neighbours (Å) after each atom.
Sites, in units of the cell vectors:
K 0.0000 0.0000 0.0000  2 H 2.56
Bi 0.5000 0.5000 0.0000  8 Pb 3.62, 4 K 3.62
H 0.0000 0.0000 0.5000  2 K 2.56, 4 Pb 2.56
Pb 0.0000 0.5000 0.5000  2 H 2.56
Pb 0.5000 0.0000 0.5000  2 H 2.56



(4)
DFT (PBE-GGA) results for a relaxed Np2AlIr3 crystal.

DOS(E_F)   1.971 states/eV/atom
Spin magnetization   1.14 μB per atom
Crystal system   trigonal

Cell: 5.0661 5.0661 5.0661 Å, 66.99 66.99 66.99°
With the nearest neighbours (Å) after each atom.
Sites, in units of the cell vectors:
Np 0.1197 0.1197 0.1197  1 Np 2.80, 9 Ir 2.98-3.13
Np 0.8803 0.8803 0.8803  1 Np 2.80, 9 Ir 2.98-3.13
Al 0.5000 0.5000 0.5000  6 Ir 2.53
Ir 0.0000 0.5000 0.5000  2 Al 2.53, 4 Ir 2.80
Ir 0.5000 0.0000 0.5000  2 Al 2.53, 4 Ir 2.80
Ir 0.5000 0.5000 0.0000  2 Al 2.53, 4 Ir 2.80



(5)
DFT (PBE-GGA) results for a relaxed ErFeGe3Os crystal.

DOS(E_F)   0.383 states/eV/atom
Spin magnetization   0.13 μB per atom
Crystal system   orthorhombic

Cell: 6.9593 6.9593 5.4511 Å, 90.00 90.00 112.94°
With the nearest neighbours (Å) after each atom.
Sites, in units of the cell vectors:
Er 0.1926 0.8074 0.7500  2 Ge 2.87, 3 Os 3.02-3.09
Er 0.8074 0.1926 0.2500  2 Ge 2.87, 3 Os 3.02-3.09
Fe 0.4556 0.5444 0.2500  5 Ge 2.16-2.36
Fe 0.5444 0.4556 0.7500  5 Ge 2.16-2.36
Ge 0.2587 0.2587 0.0000  2 Fe 2.36, 2 Os 2.54
Ge 0.2587 0.2587 0.5000  2 Fe 2.36, 2 Os 2.54
Ge 0.2691 0.7309 0.2500  1 Fe 2.16, 1 Os 2.33
Ge 0.7309 0.2691 0.7500  1 Fe 2.16, 1 Os 2.33
Ge 0.7413 0.7413 0.0000  2 Fe 2.36, 2 Os 2.54
Ge 0.7413 0.7413 0.5000  2 Fe 2.36, 2 Os 2.54
Os 0.0679 0.9321 0.2500  5 Ge 2.33-2.54
Os 0.9321 0.0679 0.7500  5 Ge 2.33-2.54



(6)
DFT (PBE-GGA) results for a relaxed Pm6Bi2Ru crystal.

DOS(E_F)   1.309 states/eV/atom
Spin magnetization   0.00 μB per atom
Crystal system   orthorhombic

Cell: 4.1988 8.6386 8.6386 Å, 119.97 90.00 90.00°
With the nearest neighbours (Å) after each atom.
Sites, in units of the cell vectors:
Pm 0.0000 0.0000 0.0000  2 Ru 2.92
Pm 0.0000 0.5281 0.7637  2 Ru 2.93
Pm 0.0000 0.7637 0.5281  2 Ru 2.93
Pm 0.5000 0.1652 0.7638  4 Bi 3.37, 1 Ru 3.46, 4 Pm 3.68
Pm 0.5000 0.3620 0.3620  4 Bi 3.37, 1 Ru 3.48, 6 Pm 3.68-3.77
Pm 0.5000 0.7638 0.1652  4 Bi 3.37, 1 Ru 3.46, 4 Pm 3.68
Bi 0.0000 0.0971 0.4306  9 Pm 3.37-3.38
Bi 0.0000 0.4306 0.0971  9 Pm 3.37-3.38
Ru 0.5000 0.7649 0.7649  6 Pm 2.92-2.93



(7)
DFT (PBE-GGA) results for a relaxed YSc4Ir crystal.

DOS(E_F)   1.255 states/eV/atom
Spin magnetization   0.27 μB per atom
Crystal system   cubic

Cell: 5.7570 5.7570 5.7570 Å, 60.00 60.00 60.00°
With the nearest neighbours (Å) after each atom.
Sites, in units of the cell vectors:
Y 0.0000 0.0000 0.0000  12 Sc 3.38, 4 Ir 3.53
Sc 0.3762 0.3762 0.3762  6 Sc 2.85-2.91
Sc 0.3762 0.3762 0.8714  6 Sc 2.85-2.91
Sc 0.3762 0.8714 0.3762  6 Sc 2.85-2.91
Sc 0.8714 0.3762 0.3762  6 Sc 2.85-2.91
Ir 0.7500 0.7500 0.7500  12 Sc 3.37, 4 Y 3.53



(8)
DFT (PBE-GGA) results for a relaxed USi2Ru crystal.

Formation energy without anion corrections   -427 meV/atom
DOS(E_F)   1.356 states/eV/atom
Spin magnetization   0.43 μB per atom
Crystal system   monoclinic

Cell: 8.9582 8.9582 4.1763 Å, 91.00 91.00 24.07°
With the nearest neighbours (Å) after each atom.
Sites, in units of the cell vectors:
U 0.0000 0.0000 0.0000  5 Ru 2.92-3.21, 8 Si 2.98-3.13
U 0.1979 0.1979 0.5547  4 Ru 2.96-3.18, 9 Si 3.00-3.26
Si 0.3565 0.3565 0.9727  4 Si 2.43-2.49, 2 Ru 2.49
Si 0.4311 0.4311 0.4695  3 Ru 2.39-2.46, 2 Si 2.43-2.49
Si 0.6360 0.6360 0.0510  1 Si 2.33, 2 Ru 2.41-2.42
Si 0.7691 0.7691 0.0736  3 Si 2.33-2.46, 2 Ru 2.46-2.48
Ru 0.5666 0.5666 0.5474  3 Si 2.39-2.42
Ru 0.8444 0.8444 0.5819  6 Si 2.46-2.49



(9)
DFT (PBE-GGA) results for a relaxed RbMnPbSe3 crystal.

Formation energy without anion corrections   -603 meV/atom
DOS(E_F)   0.478 states/eV/atom
Spin magnetization   0.48 μB per atom
Crystal system   monoclinic

Cell: 9.7941 4.2657 9.9645 Å, 90.00 101.67 90.00°
With the nearest neighbours (Å) after each atom.
Sites, in units of the cell vectors:
Rb 0.1951 0.2500 0.1690  5 Se 3.41-3.57
Rb 0.8049 0.7500 0.8310  5 Se 3.41-3.57
Mn 0.4166 0.7500 0.9291  4 Se 2.30-2.43
Mn 0.5834 0.2500 0.0709  4 Se 2.30-2.43
Pb 0.1431 0.2500 0.6299  3 Se 2.86-2.97
Pb 0.8569 0.7500 0.3701  3 Se 2.86-2.97
Se 0.1554 0.7500 0.4259  3 Pb 2.86-2.97
Se 0.1765 0.7500 0.8797  1 Mn 2.30
Se 0.4719 0.2500 0.8354  3 Mn 2.38-2.43
Se 0.5281 0.7500 0.1646  3 Mn 2.38-2.43
Se 0.8235 0.2500 0.1203  1 Mn 2.30
Se 0.8446 0.2500 0.5741  3 Pb 2.86-2.97



(10)
DFT (PBE-GGA) results for a relaxed KCa3Tl4 crystal.

DOS(E_F)   0.619 states/eV/atom
Spin magnetization   0.00 μB per atom
Crystal system   trigonal

Cell: 9.7176 9.7176 9.7176 Å, 33.47 33.47 33.47°
With the nearest neighbours (Å) after each atom.
Sites, in units of the cell vectors:
K 0.0000 0.0000 0.0000  8 Tl 3.46-3.47
Ca 0.2495 0.2495 0.2495  8 Tl 3.39-3.55
Ca 0.5000 0.5000 0.5000  8 Tl 3.34-3.42
Ca 0.7505 0.7505 0.7505  8 Tl 3.39-3.55
Tl 0.1262 0.1262 0.1262  7 Ca 3.39-3.43, 1 K 3.47
Tl 0.3785 0.3785 0.3785  5 Ca 3.34-3.55, 3 K 3.46
Tl 0.6215 0.6215 0.6215  5 Ca 3.34-3.55, 3 K 3.46
Tl 0.8738 0.8738 0.8738  7 Ca 3.39-3.43, 1 K 3.47



(11)
DFT (PBE-GGA) results for a relaxed AsPWSe2 crystal.

Formation energy without anion corrections   815 meV/atom
DOS(E_F)   1.020 states/eV/atom
Spin magnetization   0.29 μB per atom
Crystal system   tetragonal

Cell: 4.8278 4.8278 5.1063 Å, 90.00 90.00 90.00°
With the nearest neighbours (Å) after each atom.
Sites, in units of the cell vectors:
As 0.0000 0.0000 0.0000  2 W 2.55
P 0.5000 0.5000 0.0000  4 As 3.41, 8 Se 3.51
W 0.0000 0.0000 0.5000  4 Se 2.41, 2 As 2.55
Se 0.0000 0.5000 0.5000  2 W 2.41
Se 0.5000 0.0000 0.5000  2 W 2.41



(12)
DFT (PBE-GGA) results for a relaxed TiMo2Se2 crystal.

Formation energy without anion corrections   54 meV/atom
DOS(E_F)   1.168 states/eV/atom
Spin magnetization   0.00 μB per atom
Crystal system   tetragonal

Cell: 7.1296 7.1296 3.2194 Å, 90.00 90.00 90.00°
With the nearest neighbours (Å) after each atom.
Sites, in units of the cell vectors:
Ti 0.0000 0.0000 0.0000  4 Se 2.68
Ti 0.5000 0.5000 0.0000  4 Se 2.68
Mo 0.1439 0.3561 0.5000  6 Se 2.55-2.70
Mo 0.3561 0.8561 0.5000  6 Se 2.55-2.70
Mo 0.6439 0.1439 0.5000  6 Se 2.55-2.70
Mo 0.8561 0.6439 0.5000  6 Se 2.55-2.70
Se 0.1603 0.6603 0.0000  6 Mo 2.55-2.70, 2 Ti 2.68
Se 0.3397 0.1603 0.0000  6 Mo 2.55-2.70, 2 Ti 2.68
Se 0.6603 0.8397 0.0000  6 Mo 2.55-2.70, 2 Ti 2.68
Se 0.8397 0.3397 0.0000  6 Mo 2.55-2.70, 2 Ti 2.68



| no. | E_tot (eV per atom) |
| --- | --- |
| 1 | -4.584 |
| 2 | -5.491 |
| 3 | -3.114 |
| 4 | -9.965 |
| 5 | -6.404 |
| 6 | -5.580 |
| 7 | -6.502 |
| 8 | -8.279 |
| 9 | -4.653 |
| 10 | -2.372 |
| 11 | -5.181 |
| 12 | -7.251 |